# 1
A plane-wave DFT calculation with PBEsol was carried out for an optimized crystal structure of BaY2In.

Lattice parameters (Å, degrees): 6.1644 6.1644 6.1644 133.20 133.20 68.34
Last column: nearest neighbours and their distance in Å.
Fractional positions:
Ba  0.0000  0.0000  0.0000  8 Y 3.46-3.54, 4 In 3.54
Y  0.2500  0.7500  0.5000  4 In 3.46, 4 Y 3.54, 4 Ba 3.54
Y  0.5000  0.5000  0.0000  4 Ba 3.46, 4 In 3.54, 4 Y 3.54
In  0.7500  0.2500  0.5000  8 Y 3.46-3.54, 4 Ba 3.54

Properties
The electronic total energy is -19.09 eV for the cell shown.

=====

# 2
A plane-wave DFT calculation with PBEsol was carried out for an optimized crystal structure of BaYIn2.

Lattice parameters (Å, degrees): 5.7134 5.7134 3.7193 90.00 90.00 90.00
Last column: nearest neighbours and their distance in Å.
Fractional positions:
Ba  0.0000  0.0000  0.0000  8 In 3.41, 2 Ba 3.72
Y  0.5000  0.5000  0.0000  8 In 3.41, 2 Y 3.72
In  0.0000  0.5000  0.5000  4 Y 3.41, 4 Ba 3.41, 2 In 3.72
In  0.5000  0.0000  0.5000  4 Y 3.41, 4 Ba 3.41, 2 In 3.72

Properties
The electronic total energy is -16.26 eV for the cell shown.

=====

# 3
A plane-wave DFT calculation with PBEsol was carried out for an optimized crystal structure of BaYIn2.

Lattice parameters (Å, degrees): 7.0322 7.0322 7.0322 144.87 138.90 55.15
Last column: nearest neighbours and their distance in Å.
Fractional positions:
Ba  0.0000  0.0000  0.0000  6 In 3.47-3.70, 2 Y 3.84
Y  0.7355  0.2355  0.5000  6 In 3.24-3.26
In  0.2433  0.7433  0.5000  2 In 2.92, 4 Y 3.26
In  0.4039  0.4039  0.0000  2 In 2.92, 2 Y 3.24

Properties
The electronic total energy is -16.12 eV for the cell shown.

=====

# 4
A plane-wave DFT calculation with PBEsol was carried out for an optimized crystal structure of BaY2In.

Lattice parameters (Å, degrees): 3.6392 4.8325 7.3673 90.00 90.00 90.00
Last column: nearest neighbours and their distance in Å.
Fractional positions:
Ba  0.0000  0.0000  0.0000  5 Y 3.43-3.81, 4 In 3.59, 2 Ba 3.64
Y  0.0000  0.0000  0.4653  4 In 3.37, 1 Ba 3.43, 6 Y 3.44-3.64
Y  0.5000  0.5000  0.6865  1 In 3.12, 4 Y 3.44
In  0.5000  0.5000  0.2625  5 Y 3.12-3.37

Properties
The electronic total energy is -19.30 eV for the cell shown.

=====

For reference, formation enthalpy at 0 K by record: -0.0778; -0.3316; -0.2955; -0.1306 eV per atom.